# 1
The following is a DFT calculation (GGA-PBE) of an optimized crystal structure of Pr2Sm15Y2.

Results
* formation energy from the elements: 26 kJ/mol of atoms
* DOS(E_F): 30.067 states/eV per cell
* SG: R-3m

Cell: 8.885 8.885 8.885 Å, 78.31 78.31 78.31°
Sites, in units of the cell vectors:
Pr  0.091  0.091  0.091
Pr  0.909  0.909  0.909
Sm  0.000  0.000  0.500
Sm  0.000  0.300  0.700
Sm  0.000  0.500  0.000
Sm  0.000  0.700  0.300
Sm  0.155  0.620  0.620
Sm  0.300  0.000  0.700
Sm  0.300  0.700  0.000
Sm  0.380  0.380  0.845
Sm  0.380  0.845  0.380
Sm  0.500  0.000  0.000
Sm  0.620  0.155  0.620
Sm  0.620  0.620  0.155
Sm  0.700  0.000  0.300
Sm  0.700  0.300  0.000
Sm  0.845  0.380  0.380
Y  0.317  0.317  0.317
Y  0.683  0.683  0.683

---

# 2
The following is a DFT calculation (GGA-PBE) of an optimized crystal structure of Pr2Sm2Y3.

Results
* distance to the lowest polymorph of the same formula: 0.0 kJ/mol of atoms
* formation energy from the elements: 10 kJ/mol of atoms
* DOS(E_F): 14.237 states/eV per cell
* SG: C2/m

Cell: 5.674 5.674 9.220 Å, 112.95 112.95 63.99°
Sites, in units of the cell vectors:
Pr  0.213  0.213  0.140
Pr  0.787  0.787  0.860
Sm  0.070  0.070  0.709
Sm  0.930  0.930  0.291
Y  0.358  0.358  0.570
Y  0.500  0.500  0.000
Y  0.642  0.642  0.430

---

# 3
The following is a DFT calculation (GGA-PBE) of an optimized crystal structure of Pr6Sm4Y.

Results
* distance to the lowest polymorph of the same formula: 0.0 kJ/mol of atoms
* formation energy from the elements: 27 kJ/mol of atoms
* DOS(E_F): 18.579 states/eV per cell
* SG: I-42m

Cell: 10.053 10.053 10.053 Å, 141.13 141.13 56.14°
Sites, in units of the cell vectors:
Pr  0.000  0.500  0.500
Pr  0.189  0.189  0.643
Pr  0.454  0.811  0.000
Pr  0.500  0.000  0.500
Pr  0.546  0.546  0.357
Pr  0.811  0.454  0.000
Sm  0.010  0.635  0.000
Sm  0.365  0.365  0.375
Sm  0.635  0.010  0.000
Sm  0.990  0.990  0.625
Y  0.000  0.000  0.000

---

# 4
The following is a DFT calculation (GGA-PBE) of an optimized crystal structure of Pr2Sm3Y.

Results
* distance to the lowest polymorph of the same formula: 0.0 kJ/mol of atoms
* formation energy from the elements: 6 kJ/mol of atoms
* DOS(E_F): 17.573 states/eV per cell
* SG: C2/c

Cell: 6.783 6.783 9.152 Å, 97.69 97.69 95.23°
Sites, in units of the cell vectors:
Pr  0.122  0.627  0.876
Pr  0.373  0.878  0.624
Pr  0.627  0.122  0.376
Pr  0.878  0.373  0.124
Sm  0.169  0.338  0.501
Sm  0.338  0.169  0.001
Sm  0.416  0.584  0.250
Sm  0.584  0.416  0.750
Sm  0.662  0.831  0.999
Sm  0.831  0.662  0.499
Y  0.082  0.918  0.250
Y  0.918  0.082  0.750

---

# 5
The following is a DFT calculation (GGA-PBE) of an optimized crystal structure of Pr14SmY.

Results
* formation energy from the elements: 1 kJ/mol of atoms
* DOS(E_F): 25.947 states/eV per cell
* SG: P4/mmm

Cell: 7.398 7.398 10.483 Å, 90.00 90.00 90.00°
Sites, in units of the cell vectors:
Pr  0.000  0.000  0.000
Pr  0.000  0.500  0.000
Pr  0.000  0.500  0.500
Pr  0.250  0.250  0.252
Pr  0.250  0.250  0.748
Pr  0.250  0.750  0.252
Pr  0.250  0.750  0.748
Pr  0.500  0.000  0.000
Pr  0.500  0.000  0.500
Pr  0.500  0.500  0.000
Pr  0.750  0.250  0.252
Pr  0.750  0.250  0.748
Pr  0.750  0.750  0.252
Pr  0.750  0.750  0.748
Sm  0.000  0.000  0.500
Y  0.500  0.500  0.500

---

# 6
The following is a DFT calculation (GGA-PBE) of an optimized crystal structure of Pr6Sm2Y3.

Results
* distance to the lowest polymorph of the same formula: 0.0 kJ/mol of atoms
* formation energy from the elements: 8 kJ/mol of atoms
* DOS(E_F): 17.110 states/eV per cell
* SG: P-1

Cell: 6.683 6.858 8.907 Å, 78.35 72.97 86.90°
Sites, in units of the cell vectors:
Pr  0.040  0.492  0.303
Pr  0.101  0.200  0.028
Pr  0.407  0.870  0.211
Pr  0.593  0.130  0.789
Pr  0.899  0.800  0.972
Pr  0.960  0.508  0.697
Sm  0.216  0.036  0.579
Sm  0.784  0.964  0.421
Y  0.413  0.652  0.861
Y  0.500  0.500  0.500
Y  0.587  0.348  0.139

---

# 7
The following is a DFT calculation (GGA-PBE) of an optimized crystal structure of Pr2SmY2.

Results
* formation energy from the elements: 10 kJ/mol of atoms
* DOS(E_F): 10.142 states/eV per cell
* SG: C2/m

Cell: 5.678 5.678 6.406 Å, 109.44 109.44 64.05°
Sites, in units of the cell vectors:
Pr  0.101  0.101  0.305
Pr  0.899  0.899  0.695
Sm  0.500  0.500  0.500
Y  0.302  0.302  0.909
Y  0.698  0.698  0.091

---

# 8
The following is a DFT calculation (GGA-PBE) of an optimized crystal structure of Pr3Sm3Y8.

Results
* distance to the lowest polymorph of the same formula: 0.0 kJ/mol of atoms
* formation energy from the elements: 10 kJ/mol of atoms
* DOS(E_F): 23.237 states/eV per cell
* SG: Immm

Cell: 9.823 9.823 9.823 Å, 145.99 113.11 77.20°
Sites, in units of the cell vectors:
Pr  0.000  0.000  0.000
Pr  0.185  0.685  0.500
Pr  0.815  0.315  0.500
Sm  0.199  0.500  0.699
Sm  0.500  0.500  0.000
Sm  0.801  0.500  0.301
Y  0.119  0.280  0.839
Y  0.238  0.898  0.340
Y  0.442  0.102  0.340
Y  0.442  0.280  0.161
Y  0.558  0.720  0.839
Y  0.558  0.898  0.660
Y  0.762  0.102  0.660
Y  0.881  0.720  0.161